A relaxed structure of BiW2F, computed with PBE with a Hubbard U.

The space group is I-42d (No. 122) and the conventional cell measures 5.5780, 5.5780 and 13.8654 Å, with angles of 90.00, 90.00 and 90.00 degrees. The distinct sites, in fractional coordinates, are Bi at (0.0000, 0.0000, 0.0000), W at (0.1215, 0.2500, 0.6250) and F at (0.0000, 0.0000, 0.5000).

As for the total magnetization: 29.52 Bohr magnetons per cell. Its total energy is -4.357 eV/atom. The distance to the lowest polymorph of the same formula is 0 meV/atom.